(1)
The following is a DFT calculation (PBE-GGA) of an optimized crystal structure of Cd2GaO.

The energy above the most stable polymorph in this dataset comes out at 0 meV per atom. The crystal system is tetragonal. The calculated total energy comes out at -2.76 eV/atom. Its space group is I-42d. The mass density comes out at 6.03 g cm⁻³. The value obtained for the raw formation energy is -0.311 eV/atom.

Cell: 6.329 6.329 6.185 Å, 59.23 59.23 90.00°
Fractional coordinates of all 8 atoms:
1 O 0.500 0.500 0.000
2 O 0.250 0.750 0.500
3 Ga 0.000 0.000 0.000
4 Ga 0.750 0.250 0.500
5 Cd 0.558 0.125 0.250
6 Cd 0.192 0.625 0.250
7 Cd 0.375 0.442 0.750
8 Cd 0.875 0.808 0.750

=====

(2)
The following is a DFT calculation (PBE-GGA) of an optimized crystal structure of ReGe2Br.

The energy above the most stable polymorph in this dataset comes out at 471 meV per atom. The crystal system is cubic. The calculated total energy comes out at -4.72 eV/atom. Its space group is Fm-3m. The mass density comes out at 9.01 g cm⁻³. The value obtained for the raw formation energy is 1.116 eV/atom.

Cell: 4.751 4.751 4.751 Å, 60.00 60.00 60.00°
Fractional coordinates of all 4 atoms:
1 Re 0.500 0.500 0.500
2 Ge 0.250 0.250 0.250
3 Ge 0.750 0.750 0.750
4 Br 0.000 0.000 0.000

=====

(3)
The following is a DFT calculation (PBE-GGA) of an optimized crystal structure of AlCr3Bi.

The energy above the most stable polymorph in this dataset comes out at 497 meV per atom. The crystal system is cubic. The calculated total energy comes out at -5.80 eV/atom. Its space group is Pm-3m. The mass density comes out at 4.42 g cm⁻³. Its energy of formation is 1497 meV per atom.

Cell: 5.281 5.281 5.281 Å, 90.00 90.00 90.00°
Fractional coordinates of all 5 atoms:
1 Cr 0.000 0.500 0.000
2 Cr 0.000 0.000 0.500
3 Cr 0.500 0.000 0.000
4 Bi 0.000 0.000 0.000
5 Al 0.500 0.500 0.500

=====

(4)
The following is a DFT calculation (PBE-GGA) of an optimized crystal structure of ScBe2I.

The energy above the most stable polymorph in this dataset comes out at 283 meV per atom. The crystal system is cubic. The calculated total energy comes out at -2.93 eV/atom. Its space group is Fm-3m. The mass density comes out at 4.39 g cm⁻³. The value obtained for the raw formation energy is 0.903 eV/atom.

Cell: 4.667 4.667 4.667 Å, 60.00 60.00 60.00°
Fractional coordinates of all 4 atoms:
1 I 0.500 0.500 0.500
2 Sc 0.000 0.000 0.000
3 Be 0.250 0.250 0.250
4 Be 0.750 0.750 0.750

=====

(5)
The following is a DFT calculation (PBE-GGA) of an optimized crystal structure of CaBe4Sb.

The crystal system is cubic. The calculated total energy comes out at -3.11 eV/atom. Its space group is F-43m. The mass density comes out at 3.65 g cm⁻³. The value obtained for the raw formation energy is 0.395 eV/atom.

Cell: 5.031 5.031 5.031 Å, 60.00 60.00 60.00°
Fractional coordinates of all 6 atoms:
1 Ca 0.750 0.750 0.750
2 Be 0.848 0.384 0.384
3 Be 0.384 0.384 0.848
4 Be 0.384 0.848 0.384
5 Be 0.384 0.384 0.384
6 Sb 0.000 0.000 0.000

=====

(6)
The following is a DFT calculation (PBE-GGA) of an optimized crystal structure of Tb2Pr3Y6Sc.

The crystal system is monoclinic. The calculated total energy comes out at -5.70 eV/atom. Its space group is C2/m. The mass density comes out at 5.63 g cm⁻³. Its energy of formation is 30 meV per atom.

Cell: 6.211 6.211 11.832 Å, 95.01 95.01 119.99°
Fractional coordinates of all 12 atoms:
1 Tb 0.334 0.666 0.000
2 Tb 0.666 0.334 0.000
3 Pr 0.167 0.833 0.500
4 Pr 0.833 0.167 0.500
5 Pr 0.500 0.500 0.500
6 Y 0.919 0.589 0.756
7 Y 0.750 0.750 0.244
8 Y 0.081 0.411 0.244
9 Y 0.589 0.919 0.756
10 Y 0.250 0.250 0.756
11 Y 0.411 0.081 0.244
12 Sc 0.000 0.000 0.000

=====

(7)
The following is a DFT calculation (PBE-GGA) of an optimized crystal structure of Cs2ThTlBr6.

The crystal system is trigonal. The calculated total energy comes out at -3.66 eV/atom. Its space group is R-3m. The mass density comes out at 4.21 g cm⁻³. The value obtained for the raw formation energy is -1.510 eV/atom.

Cell: 9.311 9.311 13.534 Å, 69.88 69.88 60.00°
Fractional coordinates of all 20 atoms:
1 Cs 0.869 0.869 0.393
2 Cs 0.131 0.131 0.607
3 Cs 0.727 0.727 0.818
4 Cs 0.273 0.273 0.182
5 Th 0.000 0.000 0.000
6 Th 0.500 0.500 0.500
7 Tl 0.592 0.592 0.224
8 Tl 0.408 0.408 0.776
9 Br 0.868 0.369 0.395
10 Br 0.369 0.868 0.395
11 Br 0.369 0.369 0.395
12 Br 0.132 0.631 0.605
13 Br 0.631 0.132 0.605
14 Br 0.631 0.631 0.605
15 Br 0.764 0.186 0.863
16 Br 0.186 0.764 0.863
17 Br 0.186 0.186 0.863
18 Br 0.236 0.814 0.137
19 Br 0.814 0.236 0.137
20 Br 0.814 0.814 0.137